Record 1
The following is a PBE calculation of a relaxed structure of CeIn3I7, from Alexandria via LeMat-Bulk.

Cell: 8.0471 8.0471 9.5945 Å, 64.06 64.06 79.28°
Site moments in Bohr magnetons follow the coordinates.
Sites, in units of the cell vectors:
I  0.6142  0.1484  0.2476  -0.01
I  0.3129  0.9190  0.7587  -0.01
I  0.8044  0.8044  0.8541  -0.01
I  0.1617  0.1617  0.1020  -0.01
I  0.1484  0.6142  0.2476  -0.01
I  0.9190  0.3129  0.7587  -0.01
I  0.6254  0.6254  0.3591  -0.01
In  0.5013  0.5013  0.9477  -0.01
In  0.2464  0.8560  0.4631  -0.01
In  0.8560  0.2464  0.4631  -0.01
Ce  0.9352  0.9352  0.0483  0.24

Properties
DOS at the Fermi energy (states/eV/atom): 0.133
ΔE_f (raw) (eV/atom): -0.747

=====

Record 2
The following is a PBE calculation of a relaxed structure of CeInI2, from Alexandria via LeMat-Bulk.

Cell: 3.9951 3.9951 11.6442 Å, 80.12 80.12 60.00°
Site moments in Bohr magnetons follow the coordinates.
Sites, in units of the cell vectors:
I  0.8980  0.8980  0.3060  -0.01
I  0.1020  0.1020  0.6940  -0.01
In  0.0000  0.0000  0.0000  0.00
Ce  0.5000  0.5000  0.5000  1.21

Properties
DOS at the Fermi energy (states/eV/atom): 1.583
ΔE_f (raw) (eV/atom): -0.719

=====

Record 3
The following is a PBE calculation of a relaxed structure of Ce3In5I12, from Alexandria via LeMat-Bulk.

Cell: 17.0713 17.0713 17.0713 Å, 109.47 109.47 109.47°
Site moments in Bohr magnetons follow the coordinates.
Sites, in units of the cell vectors:
I  0.6713  0.4380  0.5668  -0.01
I  0.2334  0.5620  0.6288  -0.01
I  0.7334  0.6046  0.1713  -0.01
I  0.3954  0.2666  0.3287  -0.01
I  0.3954  0.1288  0.5668  -0.01
I  0.4332  0.3712  0.6046  -0.01
I  0.8712  0.2666  0.4380  -0.01
I  0.1288  0.7334  0.5620  -0.01
I  0.3287  0.7666  0.3954  -0.01
I  0.7666  0.4380  0.3712  -0.01
I  0.8712  0.6046  0.9332  -0.01
I  0.6046  0.7334  0.6713  -0.01
I  0.5620  0.3287  0.9332  -0.01
I  0.9332  0.1046  0.8712  -0.01
I  0.6288  0.5668  0.8954  -0.01
I  0.4380  0.6713  0.0668  -0.01
I  0.6713  0.2334  0.6046  -0.01
I  0.5620  0.2334  0.1288  -0.01
I  0.9380  0.3712  0.2666  -0.01
I  0.1046  0.9332  0.3712  -0.01
I  0.6288  0.0620  0.2334  -0.01
I  0.9380  0.5668  0.1713  -0.01
I  0.8287  0.8954  0.2666  -0.01
I  0.0668  0.1713  0.4380  -0.01
I  0.1046  0.1713  0.2334  -0.01
I  0.8954  0.8287  0.7666  -0.01
I  0.2666  0.3954  0.8287  -0.01
I  0.3287  0.5620  0.4332  -0.01
I  0.3712  0.9380  0.7666  -0.01
I  0.8287  0.9332  0.0620  -0.01
I  0.5668  0.6288  0.3954  -0.01
I  0.1288  0.3954  0.0668  -0.01
I  0.4380  0.7666  0.8712  -0.01
I  0.0668  0.8954  0.1288  -0.01
I  0.0620  0.6288  0.7334  -0.01
I  0.2334  0.6713  0.1046  -0.01
I  0.3712  0.4332  0.1046  -0.01
I  0.1713  0.1046  0.7334  -0.01
I  0.2666  0.8712  0.9380  -0.01
I  0.8954  0.0668  0.6288  -0.01
I  0.4332  0.0620  0.3287  -0.01
I  0.7334  0.1288  0.0620  -0.01
I  0.0620  0.4332  0.8287  -0.01
I  0.7666  0.3287  0.8954  -0.01
I  0.9332  0.8287  0.5620  -0.01
I  0.5668  0.9380  0.6713  -0.01
I  0.1713  0.0668  0.9380  -0.01
I  0.6046  0.8712  0.4332  -0.01
In  0.1250  0.7500  0.3750  0.01
In  0.5000  0.5000  0.5000  0.00
In  0.0000  0.0000  0.5000  0.00
In  0.5000  0.0000  0.5000  0.00
In  0.6250  0.7500  0.8750  0.01
In  0.3750  0.1250  0.7500  0.01
In  0.1250  0.3750  0.2500  0.01
In  0.5000  0.0000  0.0000  0.00
In  0.0000  0.0000  0.0000  0.00
In  0.7500  0.1250  0.8750  0.01
In  0.0000  0.5000  0.5000  0.00
In  0.3750  0.2500  0.1250  0.01
In  0.6250  0.8750  0.2500  0.01
In  0.5000  0.5000  0.0000  0.00
In  0.2500  0.8750  0.1250  0.01
In  0.8750  0.6250  0.7500  0.01
In  0.7500  0.6250  0.3750  0.01
In  0.2500  0.3750  0.6250  0.01
In  0.0000  0.5000  0.0000  0.00
In  0.8750  0.2500  0.6250  0.01
Ce  0.3750  0.6250  0.2500  1.46
Ce  0.8750  0.1250  0.2500  1.46
Ce  0.7500  0.8750  0.6250  1.46
Ce  0.2500  0.6250  0.8750  1.46
Ce  0.7500  0.3750  0.1250  1.46
Ce  0.1250  0.2500  0.8750  1.46
Ce  0.1250  0.8750  0.7500  1.46
Ce  0.6250  0.3750  0.7500  1.46
Ce  0.8750  0.7500  0.1250  1.46
Ce  0.6250  0.2500  0.3750  1.46
Ce  0.2500  0.1250  0.3750  1.46
Ce  0.3750  0.7500  0.6250  1.46

Properties
DOS at the Fermi energy (states/eV/atom): 1.734
ΔE_f (raw) (eV/atom): -0.671

=====

Record 4
The following is a PBE calculation of a relaxed structure of CeInI5, from Alexandria via LeMat-Bulk.

Cell: 8.2865 8.2865 11.9590 Å, 70.03 70.03 69.89°
Site moments in Bohr magnetons follow the coordinates.
Sites, in units of the cell vectors:
I  0.6286  0.2193  0.4848  -0.01
I  0.3714  0.7807  0.5152  -0.01
I  0.3256  0.1308  0.8679  -0.01
I  0.7807  0.3714  0.0152  -0.01
I  0.0959  0.9041  0.2500  -0.01
I  0.8692  0.6744  0.6321  -0.01
I  0.6744  0.8692  0.1321  -0.01
I  0.9041  0.0959  0.7500  -0.01
I  0.2193  0.6286  0.9848  -0.01
I  0.1308  0.3256  0.3679  -0.01
In  0.5226  0.4774  0.7500  -0.01
In  0.4774  0.5226  0.2500  -0.01
Ce  0.0000  0.0000  0.5000  0.20
Ce  0.0000  0.0000  0.0000  0.20

Properties
DOS at the Fermi energy (states/eV/atom): 0.087
ΔE_f (raw) (eV/atom): -0.909

=====

no.,electronic total energy (eV per atom)
1,-3.020
2,-3.662
3,-3.175
4,-3.255